Record 1
First-principles (GGA-PBE) data for ReSbAs2Br after structural relaxation, as listed in Alexandria via LeMat-Bulk.

abc: 4.7708 4.7708 5.4226
angles: 90.00 90.00 90.00
Closest atoms and distances in Å follow each position.
Space group P4/mmm (No. 123)
Symmetry-distinct sites (fractional):
Re (0.0000, 0.0000, 0.0000) [1 per cell]  4 As 2.39
Sb (0.5000, 0.5000, 0.5000) [1 per cell]  4 Br 3.37, 8 As 3.61
As (0.0000, 0.5000, 0.0000) [2 per cell]  2 Re 2.39
Br (0.0000, 0.0000, 0.5000) [1 per cell]  2 Re 2.71

Values from the calculation:
raw formation energy = 60 kJ per mole of atoms
M_tot = 0.0 Bohr magnetons per cell


Record 2
First-principles (GGA-PBE) data for NiH2RuRh after structural relaxation, as listed in Alexandria via LeMat-Bulk.

abc: 3.3903 3.3903 4.8902
angles: 90.00 90.00 90.00
Closest atoms and distances in Å follow each position.
Space group P4/mmm (No. 123)
Symmetry-distinct sites (fractional):
Ni (0.0000, 0.0000, 0.0000) [1 per cell]  4 Ru 2.40, 2 Rh 2.45
H (0.0000, 0.5000, 0.5000) [2 per cell]  2 Rh 1.70
Ru (0.5000, 0.5000, 0.0000) [1 per cell]  4 Ni 2.40
Rh (0.0000, 0.0000, 0.5000) [1 per cell]  4 H 1.70

Values from the calculation:
E_tot = -5.1546 eV/atom
M_tot = 3.1 Bohr magnetons per cell


Record 3
First-principles (GGA-PBE) data for Mg4Au3 after structural relaxation, as listed in Alexandria via LeMat-Bulk.

abc: 3.5699 3.5699 20.8707
angles: 90.00 90.00 90.00
Closest atoms and distances in Å follow each position.
Space group I4/mmm (No. 139)
Symmetry-distinct sites (fractional):
Mg (0.0000, 0.0000, 0.0688) [4 per cell]  5 Au 2.87-2.90, 5 Mg 2.87-3.10
Mg (0.0000, 0.0000, 0.3452) [4 per cell]  5 Au 2.74-2.90
Au (0.0000, 0.0000, 0.2061) [4 per cell]  6 Mg 2.74-2.90
Au (0.0000, 0.0000, 0.5000) [2 per cell]  10 Mg 2.90-3.23

Values from the calculation:
M_tot = 0.0 Bohr magnetons per cell
energy of formation from the pure elements = -3.20 eV per formula unit


Record 4
First-principles (GGA-PBE) data for K2LaGaI6 after structural relaxation, as listed in Alexandria via LeMat-Bulk.

abc: 8.6397 8.6397 22.3370
angles: 90.00 90.00 120.00
Closest atoms and distances in Å follow each position.
Space group R3 (No. 146, hexagonal axes)
Symmetry-distinct sites (fractional):
K (0.0000, 0.0000, 0.0000) [3 per cell]  6 I 3.56-3.68
K (0.0000, 0.0000, 0.4933) [3 per cell]  6 I 3.55-3.64
La (0.0000, 0.0000, 0.7939) [3 per cell]  6 I 3.18-3.20
Ga (0.0000, 0.0000, 0.2893) [3 per cell]  6 I 3.28-3.39
I (0.0207, 0.6242, 0.5476) [9 per cell]  1 La 3.20, 1 Ga 3.28, 1 K 3.55
I (0.0591, 0.3341, 0.3826) [9 per cell]  1 La 3.18, 1 Ga 3.39

Values from the calculation:
raw formation energy = -122 kJ per mole of atoms
M_tot = 0.0 Bohr magnetons per cell


Record 5
First-principles (GGA-PBE) data for CdSn2H2 after structural relaxation, as listed in Alexandria via LeMat-Bulk.

abc: 5.0745 5.0745 7.0868
angles: 90.00 90.00 90.00
Closest atoms and distances in Å follow each position.
Space group I4/mmm (No. 139)
Symmetry-distinct sites (fractional):
Cd (0.0000, 0.0000, 0.0000) [2 per cell]  8 Sn 3.09, 2 H 3.16
Sn (0.0000, 0.5000, 0.2500) [4 per cell]  4 H 2.89, 4 Cd 3.09
H (0.0000, 0.0000, 0.4459) [4 per cell]  1 H 0.77

Values from the calculation:
E_tot = -2.9870 eV/atom
M_tot = 0.0 Bohr magnetons per cell


Record 6
First-principles (GGA-PBE) data for CaYCoAg2 after structural relaxation, as listed in Alexandria via LeMat-Bulk.

abc: 5.1652 5.1652 4.7588
angles: 90.00 90.00 90.00
Closest atoms and distances in Å follow each position.
Space group P4/mmm (No. 123)
Symmetry-distinct sites (fractional):
Ca (0.0000, 0.0000, 0.0000) [1 per cell]  2 Co 2.38, 4 Ag 2.58
Y (0.5000, 0.5000, 0.5000) [1 per cell]  8 Ag 3.51, 4 Co 3.65
Co (0.0000, 0.0000, 0.5000) [1 per cell]  2 Ca 2.38
Ag (0.0000, 0.5000, 0.0000) [2 per cell]  2 Ca 2.58

Values from the calculation:
M_tot = 1.2 Bohr magnetons per cell
energy of formation from the pure elements = 3.79 eV per formula unit


Record 7
First-principles (GGA-PBE) data for LiSmGe2Au4 after structural relaxation, as listed in Alexandria via LeMat-Bulk.

abc: 4.5624 4.5624 25.6398
angles: 90.00 90.00 120.00
Closest atoms and distances in Å follow each position.
Space group R-3m (No. 166, hexagonal axes)
Symmetry-distinct sites (fractional):
Li (0.0000, 0.0000, 0.0000) [3 per cell]  8 Au 2.70-2.75
Sm (0.0000, 0.0000, 0.5000) [3 per cell]  6 Au 3.07
Ge (0.0000, 0.0000, 0.2574) [6 per cell]  7 Au 2.73-2.88
Au (0.0000, 0.0000, 0.1052) [6 per cell]  1 Li 2.70, 3 Ge 2.74
Au (0.0000, 0.0000, 0.3640) [6 per cell]  4 Ge 2.73-2.88, 3 Li 2.75

Values from the calculation:
M_tot = 0.0 Bohr magnetons per cell
energy of formation from the pure elements = -3.61 eV per formula unit


Record 8
First-principles (GGA-PBE) data for Tl2Cd2Ru after structural relaxation, as listed in Alexandria via LeMat-Bulk.

abc: 4.0195 4.0195 15.5674
angles: 90.00 90.00 90.00
Closest atoms and distances in Å follow each position.
Space group I4/mmm (No. 139)
Symmetry-distinct sites (fractional):
Tl (0.0000, 0.5000, 0.2500) [4 per cell]  4 Tl 2.84
Cd (0.0000, 0.0000, 0.0851) [4 per cell]  1 Cd 2.65
Ru (0.0000, 0.0000, 0.5000) [2 per cell]  8 Cd 3.14

Values from the calculation:
M_tot = 0.0 Bohr magnetons per cell
energy of formation from the pure elements = 4.08 eV per formula unit


Record 9
First-principles (GGA-PBE) data for LiZn2Ag after structural relaxation, as listed in Alexandria via LeMat-Bulk.

abc: 3.2047 3.2047 5.9621
angles: 90.00 90.00 90.00
Closest atoms and distances in Å follow each position.
Space group P4/mmm (No. 123)
Symmetry-distinct sites (fractional):
Li (0.0000, 0.0000, 0.0000) [1 per cell]  8 Zn 2.66
Zn (0.5000, 0.5000, 0.2341) [2 per cell]  4 Li 2.66, 4 Ag 2.77, 1 Zn 2.79
Ag (0.0000, 0.0000, 0.5000) [1 per cell]  8 Zn 2.77, 2 Li 2.98

Values from the calculation:
M_tot = 0.0 Bohr magnetons per cell
energy of formation from the pure elements = -0.50 eV per formula unit


Record 10
First-principles (GGA-PBE) data for LiAl2OsO8 after structural relaxation, as listed in Alexandria via LeMat-Bulk.

abc: 4.3264 5.8532 4.6961
angles: 90.00 90.59 90.00
Closest atoms and distances in Å follow each position.
Space group P2/m (No. 10)
Symmetry-distinct sites (fractional):
Li (0.0000, 0.0000, 0.0000) [1 per cell]  6 O 2.05-2.08
Al (0.5000, 0.2450, 0.5000) [2 per cell]  6 O 1.87-1.95
Os (0.0000, 0.5000, 0.0000) [1 per cell]  6 O 1.84-1.95
O (0.2341, 0.2774, 0.8294) [4 per cell]  1 Os 1.84, 1 Al 1.95
O (0.2632, 0.0000, 0.3650) [2 per cell]  2 Al 1.87, 1 Li 2.05
O (0.2788, 0.5000, 0.3292) [2 per cell]  2 Al 1.94, 1 Os 1.95

Values from the calculation:
raw formation energy = -165 kJ per mole of atoms
M_tot = 1.0 Bohr magnetons per cell


Record 11
First-principles (GGA-PBE) data for LaCSe after structural relaxation, as listed in Alexandria via LeMat-Bulk.

abc: 4.5750 5.8758 7.4145
angles: 67.07 77.33 89.98
Closest atoms and distances in Å follow each position.
Space group P-1 (No. 2)
Symmetry-distinct sites (fractional):
La (0.1812, 0.1544, 0.1947) [2 per cell]  2 C 2.67-2.70
C (0.3604, 0.9797, 0.5398) [2 per cell]  1 C 1.26
Se (0.2114, 0.7001, 0.1016) [2 per cell]  4 La 3.00-3.02

Values from the calculation:
raw formation energy = -95 kJ per mole of atoms
M_tot = 0.0 Bohr magnetons per cell


Record 12
First-principles (GGA-PBE) data for Ho4CdAu3 after structural relaxation, as listed in Alexandria via LeMat-Bulk.

abc: 3.6172 5.1078 10.2424
angles: 90.00 90.00 90.00
Closest atoms and distances in Å follow each position.
Space group Pmmm (No. 47)
Symmetry-distinct sites (fractional):
Ho (0.0000, 0.0000, 0.0000) [1 per cell]  8 Au 3.13-3.22
Ho (0.0000, 0.0000, 0.5000) [1 per cell]  4 Au 3.05, 4 Cd 3.13
Ho (0.0000, 0.5000, 0.2401) [2 per cell]  6 Au 3.05-3.14, 2 Cd 3.22
Cd (0.5000, 0.5000, 0.5000) [1 per cell]  8 Ho 3.13-3.22
Au (0.5000, 0.0000, 0.2598) [2 per cell]  8 Ho 3.05-3.22
Au (0.5000, 0.5000, 0.0000) [1 per cell]  8 Ho 3.05-3.13

Values from the calculation:
M_tot = 0.0 Bohr magnetons per cell
energy of formation from the pure elements = -5.81 eV per formula unit


What is the formula in the second record?
NiH2RuRh


Which value of M_tot does entry 9 give?
0.0 Bohr magnetons per cell


Look up the M_tot of the eleventh one.
0.0 Bohr magnetons per cell